Below is a relaxed ZrTcSb crystal, with properties calculated at the GGA-PBE level.

Computed properties:
Its formation energy from raw total energies is -235 meV/atom. The value obtained for the energy above the lowest structure with this stoichiometry is 0 meV/atom. As for the density of states at the Fermi level: 0.907 states/eV/atom. As for the magnetic moment: 0.00 μB/atom.

Cell: 4.5869 4.5869 3.2398 Å, 90.00 90.00 120.00°
Last column: nearest neighbours and their distance in Å.
Fractional positions:
Zr 0.0000 0.0000 0.0000  6 Tc 2.98-3.25, 6 Sb 3.05-3.16, 2 Zr 3.24
Tc 0.3333 0.6667 0.5812  3 Sb 2.65
Sb 0.6667 0.3333 0.5349  3 Tc 2.65

Below is a relaxed ZrTcSb3 crystal, with properties calculated at the GGA-PBE level.

Computed properties:
Its formation energy from raw total energies is 682 meV/atom. The value obtained for the energy above the lowest structure with this stoichiometry is 0 meV/atom. As for the density of states at the Fermi level: 1.156 states/eV/atom. As for the magnetic moment: 0.45 μB/atom.

Cell: 5.1519 5.1519 5.1519 Å, 90.00 90.00 90.00°
Last column: nearest neighbours and their distance in Å.
Fractional positions:
Zr 0.0000 0.0000 0.0000  12 Sb 3.64
Tc 0.5000 0.5000 0.5000  6 Sb 2.58
Sb 0.0000 0.5000 0.5000  2 Tc 2.58
Sb 0.5000 0.0000 0.5000  2 Tc 2.58
Sb 0.5000 0.5000 0.0000  2 Tc 2.58

Below is a relaxed Zr2TcSb crystal, with properties calculated at the GGA-PBE level.

Computed properties:
Its formation energy from raw total energies is 35 meV/atom. As for the density of states at the Fermi level: 1.480 states/eV/atom. As for the magnetic moment: 0.00 μB/atom.

Cell: 9.2099 9.2099 9.2099 Å, 20.60 20.60 20.60°
Last column: nearest neighbours and their distance in Å.
Fractional positions:
Zr 0.0000 0.0000 0.0000  3 Tc 2.79
Zr 0.2403 0.2403 0.2403  3 Sb 3.14, 9 Zr 3.15-3.29
Tc 0.7419 0.7419 0.7419  3 Sb 2.73, 3 Zr 2.79
Sb 0.4812 0.4812 0.4812  3 Tc 2.73

Below is a relaxed Zr2TcSb crystal, with properties calculated at the GGA-PBE level.

Computed properties:
Its formation energy from raw total energies is -176 meV/atom. As for the density of states at the Fermi level: 0.668 states/eV/atom. As for the magnetic moment: 0.00 μB/atom.

Cell: 3.6129 3.6129 6.1872 Å, 90.00 90.00 90.00°
Last column: nearest neighbours and their distance in Å.
Fractional positions:
Zr 0.0000 0.0000 0.0000  4 Tc 2.93, 2 Sb 2.98-3.20, 4 Zr 3.07
Zr 0.5000 0.5000 0.2742  4 Sb 2.97, 2 Tc 3.06-3.13, 4 Zr 3.07
Tc 0.5000 0.5000 0.7684  6 Zr 2.93-3.13, 4 Sb 2.99
Sb 0.0000 0.0000 0.5177  6 Zr 2.97-3.20, 4 Tc 2.99

Question: The lowest formation energy from raw total energies belongs to which entry?
Answer: ZrTcSb